Record 1
Density functional theory data (PBE) for a relaxed LaCu3Ni2 crystal.

VASP energy	-30.2	eV per cell
energy of formation from the pure elements	-5.49	kcal/mol of atoms
Fermi-level density of states	0.29	states/eV per atom

Unit cell a=4.1255 b=5.0338 c=5.0338 alpha=120.01 beta=90.00 gamma=90.00
Closest atoms and distances in Å follow each position.
Positions (direct):
Ni  0.0000  0.6667  0.3333  6 Cu 2.52
Ni  0.0000  0.3333  0.6667  6 Cu 2.52
Cu  0.5000  0.5000  0.5000  4 Cu 2.52, 4 Ni 2.52
Cu  0.5000  0.5000  0.0000  4 Cu 2.52, 4 Ni 2.52
Cu  0.5000  0.0000  0.5000  4 Cu 2.52, 4 Ni 2.52
La  0.0000  0.0000  0.0000  6 Ni 2.91, 12 Cu 3.25



Record 2
Density functional theory data (PBE) for a relaxed LiCeTlZn crystal.

VASP energy	-12.3	eV per cell
energy of formation from the pure elements	-4.76	kcal/mol of atoms
Fermi-level density of states	1.65	states/eV per atom

Unit cell a=5.0846 b=5.0846 c=5.0846 alpha=60.00 beta=60.00 gamma=60.00
Closest atoms and distances in Å follow each position.
Positions (direct):
Tl  0.5000  0.5000  0.5000  4 Ce 3.11, 4 Li 3.11
Zn  0.0000  0.0000  0.0000  4 Ce 3.11, 4 Li 3.11
Ce  0.7500  0.7500  0.7500  4 Tl 3.11, 4 Zn 3.11
Li  0.2500  0.2500  0.2500  4 Tl 3.11, 4 Zn 3.11



What is the formula in the first record?
LaCu3Ni2